# Sr2CaOs | Alexandria | PBE | relaxed
# SG: No. 216
# Distance to the lowest polymorph of the same formula in meV/atom: 153.1
# Energy of formation from the pure elements in kJ/mol of atoms: 58.5
# Size of the total moment in μB per formula unit: 0.0
# Final energy in eV per atom: -3.54
data_Sr2CaOs
_chemical_formula_sum 'Sr2 Ca1 Os1'
_symmetry_space_group_name_H-M 'P 1'
_symmetry_Int_Tables_number 1
_symmetry_space_group_name_Hall 'P 1'
_cell_length_a 5.450
_cell_length_b 5.450
_cell_length_c 5.450
_cell_angle_alpha 60.00
_cell_angle_beta 60.00
_cell_angle_gamma 60.00
loop_
_atom_site_label
_atom_site_type_symbol
_atom_site_fract_x
_atom_site_fract_y
_atom_site_fract_z
Sr1 Sr 0.000 0.000 0.000
Sr2 Sr 0.250 0.250 0.250
Ca1 Ca 0.750 0.750 0.750
Os1 Os 0.500 0.500 0.500